Compound: As2SBrF
Source: Alexandria via LeMat-Bulk
Functional: GGA-PBE
Structure: relaxed

Cell lengths 4.3139, 4.3139, 5.8017 Å; angles 90.00, 90.00, 90.00 degrees
Fractional positions:
As  0.0000  0.5000  0.0000
As  0.5000  0.0000  0.0000
S  0.0000  0.0000  0.5000
Br  0.5000  0.5000  0.5000
F  0.5000  0.5000  0.0000

Properties
* raw formation energy: 59.3 kJ/mol of atoms
* offset from the most stable computed form: 94.5 meV per atom
* crystal system: tetragonal
* density of states at the Fermi level: 4.49 states/eV per cell
* magnetization: 0.48 Bohr magnetons per cell